This record from Alexandria via LeMat-Bulk describes ZrFeCoSi2 after structural relaxation. The functional is PBE-GGA.

The space group is I-4m2 (No. 119) and the conventional cell measures 3.8067, 3.8067 and 9.4615 Å, with angles of 90.00, 90.00 and 90.00 degrees. The inequivalent atoms are Zr at (0.0000, 0.0000, 0.0000), Fe at (0.0000, 0.5000, 0.2500), Co at (0.0000, 0.5000, 0.7500) and Si at (0.0000, 0.0000, 0.3741).

As for the raw total energy: -77.29 eV per cell. The value obtained for the uncorrected formation energy is -0.736 eV/atom.


This record from Alexandria via LeMat-Bulk describes Pa3Zn2Ni4 after structural relaxation. The functional is PBE-GGA.

The space group is C2/m (No. 12) and the conventional cell measures 8.4465, 4.3277 and 8.3178 Å, with angles of 90.00, 95.54 and 90.00 degrees. The inequivalent atoms are Pa at (0.0000, 0.0000, 0.0000), Pa at (0.1540, 0.5000, 0.4136), Zn at (0.1717, 0.5000, 0.7846), Ni at (0.0426, 0.0000, 0.6565) and Ni at (0.2098, 0.5000, 0.0878).

As for the raw total energy: -113.91 eV per cell.


This record from Alexandria via LeMat-Bulk describes CaPb3Br2Cl6 after structural relaxation. The functional is PBE-GGA.

The space group is C2/m (No. 12) and the conventional cell measures 14.9208, 8.4392 and 6.4247 Å, with angles of 90.00, 93.00 and 90.00 degrees. The inequivalent atoms are Ca at (0.0000, 0.0000, 0.0000), Pb at (0.0000, 0.5000, 0.5000), Pb at (0.2500, 0.2500, 0.0000), Br at (0.1777, 0.5000, 0.2886), Cl at (0.0757, 0.2420, 0.7664) and Cl at (0.1616, 0.0000, 0.2242).

As for the raw total energy: -88.43 eV per cell. The value obtained for the uncorrected formation energy is -1.388 eV/atom.